# PBE ReSi3Ni, relaxed
data_ReSi3Ni
_space_group_name_H-M_alt 'P m -3 m'
_space_group_IT_number 221
_space_group_name_Hall '-P 4 2 3'
_cell_length_a 4.636
_cell_length_b 4.636
_cell_length_c 4.636
_cell_angle_alpha 90.00
_cell_angle_beta 90.00
_cell_angle_gamma 90.00
loop_
_atom_site_label
_atom_site_type_symbol
_atom_site_fract_x
_atom_site_fract_y
_atom_site_fract_z
Re1 Re 0.000 0.000 0.000
Si1 Si 0.000 0.000 0.500
Ni1 Ni 0.500 0.500 0.500
# ΔE_f (raw)	0.832	eV per atom
# energy above the most stable polymorph in this dataset	0.000	eV/atom
# density of states at the Fermi level	1.695	states/eV per atom